Compound: SrIn2Te
Source: Alexandria via LeMat-Bulk
Functional: PBEsol
Structure: relaxed Values from VASP.

Cell and atoms, written as Quantum ESPRESSO input:
```
&SYSTEM
  ibrav = 0, nat = 4, ntyp = 3
/
ATOMIC_SPECIES
In 114.82 In.upf
Te 127.60 Te.upf
Sr 87.62 Sr.upf
ATOMIC_POSITIONS crystal
In 0.7389 0.7389 0.7833
In 0.2611 0.2611 0.2167
Te 0.0000 0.0000 0.0000
Sr 0.5000 0.5000 0.5000
CELL_PARAMETERS angstrom
4.1053 0.0000 0.0000
2.0527 3.5553 0.0000
2.0527 1.1851 8.8821
```

Values from the calculation:
uncorrected formation energy = -1.01 eV/f.u.
energy = -3.086 eV per atom
N(E_F) = 2.8 states/eV per cell

***

Compound: SrInTe2
Source: Alexandria via LeMat-Bulk
Functional: PBEsol
Structure: relaxed Values from VASP.

Cell and atoms, written as Quantum ESPRESSO input:
```
&SYSTEM
  ibrav = 0, nat = 4, ntyp = 3
/
ATOMIC_SPECIES
In 114.82 In.upf
Sr 87.62 Sr.upf
Te 127.60 Te.upf
ATOMIC_POSITIONS crystal
In 0.5000 0.5000 0.5000
Sr 0.5000 0.0000 0.0000
Te 0.0000 0.0000 0.5000
Te 0.0000 0.5000 0.0000
CELL_PARAMETERS angstrom
4.2226 0.0000 0.0000
0.0000 5.3798 0.0041
0.0000 -0.9631 5.2929
```

Values from the calculation:
uncorrected formation energy = -3.27 eV/f.u.
energy = -3.785 eV per atom
N(E_F) = 1.3 states/eV per cell